No. 1
# CaAcCrO4

An optimized crystal structure of CaAcCrO4 (GGA+U, Alexandria).

The structure in CIF format:
```
data_CaAcCrO4
_cell_length_a 6.5525
_cell_length_b 7.3272
_cell_length_c 9.4700
_cell_angle_alpha 90.00
_cell_angle_beta 90.00
_cell_angle_gamma 90.00
_space_group_name_H-M_alt 'I m m a'
_space_group_IT_number 74
_space_group_name_Hall '-I 2b 2'
loop_
_atom_site_label
_atom_site_fract_x
_atom_site_fract_y
_atom_site_fract_z
Ca1 0.0000 0.2500 0.1112
Ac1 0.0000 0.0000 0.5000
Cr1 0.2500 0.2500 0.7500
O1 0.0000 0.0553 0.7587
O2 0.2424 0.2500 0.5325
```

Computed properties:
M_tot: 12.0 Bohr magnetons per cell
energy: -51.2 eV/f.u.
density: 5.6 g cm⁻³

***

No. 2
# CaAcCrO6

An optimized crystal structure of CaAcCrO6 (GGA+U, Alexandria).

The structure in CIF format:
```
data_CaAcCrO6
_cell_length_a 4.4366
_cell_length_b 5.4174
_cell_length_c 5.7339
_cell_angle_alpha 111.91
_cell_angle_beta 96.96
_cell_angle_gamma 94.90
_space_group_name_H-M_alt 'P 1'
_space_group_IT_number 1
loop_
_space_group_symop_operation_xyz
'x,y,z'
loop_
_atom_site_label
_atom_site_fract_x
_atom_site_fract_y
_atom_site_fract_z
Ca1 0.0000 0.0000 0.0000
Ac1 0.5046 0.2871 0.6298
Cr1 0.8072 0.6224 0.2897
O1 0.0402 0.2955 0.8128
O2 0.1191 0.8489 0.3422
O3 0.5196 0.2592 0.0957
O4 0.6165 0.6996 0.0469
O5 0.6520 0.7604 0.5572
O6 0.9885 0.3789 0.3633
```

Computed properties:
M_tot: 1.0 Bohr magnetons per cell
energy: -61.5 eV/f.u.
density: 5.5 g cm⁻³

***

Which value of density does entry 2 give?
5.5 g cm⁻³